6
Lattice="-1.782 -4.562 -1.560 -1.266 -4.565 1.995 -9.109 -2.160 1.321" Properties=species:S:1:pos:R:3 comment="Tl2Ni PBE optimized geometry" delta_e_f_ev_per_atom=0.199 rho_g_cm3=11.2 pbc="T T T"
Ni -6.405 -9.877 0.921
Ni -5.753 -1.409 0.834
Tl -5.558 -7.310 0.801
Tl -9.341 -5.851 1.351
Tl -2.816 -5.435 0.404
Tl -6.600 -3.977 0.955


4
Lattice="-4.143 -1.734 -1.018 -0.419 -3.163 -3.321 -0.535 -6.812 3.364" Properties=species:S:1:pos:R:3 comment="USe2Cl PBE optimized geometry" polymorph_energy_mev_per_atom=149.7 rho_g_cm3=5.5 pbc="T T T"
Cl -2.634 -5.404 -0.906
Se -0.658 -6.164 2.762
Se -1.366 -2.443 -0.694
U -2.987 -3.554 -2.624


12
Lattice="5.679 0.000 0.000 0.000 5.679 0.000 -2.839 -2.839 5.317" Properties=species:S:1:pos:R:3 comment="BaPu2PbO8 PBE optimized geometry" rho_g_cm3=9.3 pbc="T T T"
Pu 0.000 2.839 2.658
Pu 2.839 2.839 0.000
O -1.178 1.363 3.964
O 4.203 4.018 1.353
O 1.177 1.376 3.947
O 1.476 1.661 1.353
O 1.178 -1.363 3.964
O -1.177 -1.376 3.947
O 1.464 4.016 1.370
O 4.215 1.663 1.370
Ba 0.000 0.000 0.000
Pb 2.839 0.000 2.658


| no. | volume (Å³/cell) | E_tot (eV per atom) |
| --- | --- | --- |
| 1 | 138.9 | -3.3051 |
| 2 | 131.1 | -6.0519 |
| 3 | 171.5 | -8.3346 |